DFT (PBE-GGA) results for a geometry-optimized TiRuPt structure.

```
data_TiRuPt
_cell_length_a 4.3822
_cell_length_b 4.3822
_cell_length_c 5.3914
_cell_angle_alpha 90.00
_cell_angle_beta 90.00
_cell_angle_gamma 120.00
_symmetry_space_group_name_H-M 'P 63/m m c'
_symmetry_Int_Tables_number 194
_symmetry_space_group_name_Hall '-P 6c 2c'
loop_
_atom_site_label
_atom_site_type_symbol
_atom_site_fract_x
_atom_site_fract_y
_atom_site_fract_z
Ti1 Ti 0.3333 0.6667 0.2500
Ru1 Ru 0.3333 0.6667 0.7500
Pt1 Pt 0.0000 0.0000 0.0000
```

Output
Energy of formation   -595 meV per atom
Offset from the most stable computed form   89 meV per atom